# 1
K2RbAg (PBE, optimized geometry); M_tot = 0.00 μB/f.u.; energy above the lowest structure with this stoichiometry = 0.0 meV/atom; volume = 53.11 Å³ per atom; raw total energy = -23.52 eV per cell; space-group type = No. 63; calculated density = 2.12 g cm⁻³
1.0
5.258 0.000 0.000
0.000 14.625 0.000
0.000 0.000 11.050
K Rb Ag
8 4 4
direct
0.000 0.153 0.062 K
0.000 0.153 0.438 K
0.000 0.847 0.562 K
0.000 0.847 0.938 K
0.500 0.347 0.562 K
0.500 0.347 0.938 K
0.500 0.653 0.062 K
0.500 0.653 0.438 K
0.000 0.435 0.250 Rb
0.000 0.565 0.750 Rb
0.500 0.065 0.750 Rb
0.500 0.935 0.250 Rb
0.000 0.257 0.750 Ag
0.000 0.743 0.250 Ag
0.500 0.243 0.250 Ag
0.500 0.757 0.750 Ag

# 2
Er4Ni3Ir (PBE, optimized geometry); M_tot = 0.00 μB/f.u.; volume = 19.93 Å³ per atom; raw total energy = -49.21 eV per cell; space-group type = No. 25; calculated density = 10.80 g cm⁻³
1.0
3.733 0.000 0.000
0.000 4.173 0.000
0.000 0.000 10.237
Er Ni Ir
4 3 1
direct
0.000 0.000 0.000 Er
0.000 0.500 0.279 Er
0.500 0.000 0.498 Er
0.500 0.500 0.783 Er
0.000 0.500 0.558 Ni
0.500 0.000 0.211 Ni
0.500 0.500 0.073 Ni
0.000 0.000 0.717 Ir

# 3
RbNaSrSn (PBE, optimized geometry); M_tot = 0.00 μB/f.u.; volume = 35.40 Å³ per atom; raw total energy = -35.51 eV per cell; space-group type = No. 216; calculated density = 3.69 g cm⁻³
1.0
8.274 0.000 0.000
0.000 8.274 0.000
0.000 0.000 8.274
Rb Na Sr Sn
4 4 4 4
direct
0.000 0.000 0.000 Rb
0.000 0.500 0.500 Rb
0.500 0.000 0.500 Rb
0.500 0.500 0.000 Rb
0.250 0.250 0.750 Na
0.250 0.750 0.250 Na
0.750 0.250 0.250 Na
0.750 0.750 0.750 Na
0.250 0.250 0.250 Sr
0.250 0.750 0.750 Sr
0.750 0.250 0.750 Sr
0.750 0.750 0.250 Sr
0.000 0.000 0.500 Sn
0.000 0.500 0.000 Sn
0.500 0.000 0.000 Sn
0.500 0.500 0.500 Sn

# 4
Pm3Er3Tm8 (PBE, optimized geometry); M_tot = 0.00 μB/f.u.; volume = 31.71 Å³ per atom; raw total energy = -62.13 eV per cell; space-group type = No. 71; calculated density = 8.56 g cm⁻³
1.0
-2.788 5.359 7.429
2.788 -5.359 7.429
2.788 5.359 -7.429
Pm Er Tm
3 3 8
direct
0.000 0.000 0.000 Pm
0.183 0.683 0.500 Pm
0.817 0.317 0.500 Pm
0.205 0.500 0.705 Er
0.500 0.500 0.000 Er
0.795 0.500 0.295 Er
0.119 0.279 0.839 Tm
0.240 0.897 0.343 Tm
0.440 0.279 0.161 Tm
0.446 0.103 0.343 Tm
0.554 0.897 0.657 Tm
0.560 0.721 0.839 Tm
0.760 0.103 0.657 Tm
0.881 0.721 0.161 Tm

# 5
CuSnOsC (PBE, optimized geometry); M_tot = 0.00 μB/f.u.; energy above the lowest structure with this stoichiometry = 37.9 meV/atom; volume = 15.87 Å³ per atom; raw total energy = -26.82 eV per cell; space-group type = No. 156; calculated density = 10.06 g cm⁻³
1.0
3.389 0.000 0.000
-1.694 2.935 0.000
0.000 0.000 6.382
Cu Sn Os C
1 1 1 1
direct
0.000 0.000 0.000 Cu
0.667 0.333 0.722 Sn
0.667 0.333 0.301 Os
0.333 0.667 0.315 C

# 6
SiSbTe2S (PBE, optimized geometry); M_tot = 0.00 μB/f.u.; energy above the lowest structure with this stoichiometry = 0.0 meV/atom; volume = 28.44 Å³ per atom; raw total energy = -16.12 eV per cell; raw formation energy = 0.766 eV per atom; space-group type = No. 123; calculated density = 5.10 g cm⁻³
1.0
5.205 0.000 0.000
0.000 5.205 0.000
0.000 0.000 5.249
Si Sb Te S
1 1 2 1
direct
0.000 0.000 0.000 Si
0.500 0.500 0.000 Sb
0.000 0.500 0.500 Te
0.500 0.000 0.500 Te
0.500 0.500 0.500 S

# 7
LaYPu4 (PBE, optimized geometry); M_tot = 23.08 μB/f.u.; volume = 28.51 Å³ per atom; raw total energy = -67.32 eV per cell; space-group type = No. 216; calculated density = 11.68 g cm⁻³
1.0
0.000 4.406 4.406
4.406 0.000 4.406
4.406 4.406 0.000
La Y Pu
1 1 4
direct
0.000 0.000 0.000 La
0.750 0.750 0.750 Y
0.375 0.375 0.375 Pu
0.375 0.375 0.875 Pu
0.375 0.875 0.375 Pu
0.875 0.375 0.375 Pu

# 8
Bi2Se2S (PBE, optimized geometry); M_tot = 0.00 μB/f.u.; volume = 28.42 Å³ per atom; raw total energy = -82.58 eV per cell; raw formation energy = -0.357 eV per atom; space-group type = No. 62; calculated density = 7.10 g cm⁻³
1.0
12.028 0.000 0.000
0.000 4.126 0.000
0.000 0.000 11.453
Bi Se S
8 8 4
direct
0.018 0.250 0.164 Bi
0.156 0.750 0.462 Bi
0.344 0.250 0.962 Bi
0.482 0.750 0.664 Bi
0.518 0.250 0.336 Bi
0.656 0.750 0.038 Bi
0.844 0.250 0.538 Bi
0.982 0.750 0.836 Bi
0.052 0.250 0.636 Se
0.219 0.250 0.301 Se
0.281 0.750 0.801 Se
0.448 0.750 0.136 Se
0.552 0.250 0.864 Se
0.719 0.250 0.199 Se
0.781 0.750 0.699 Se
0.948 0.750 0.364 Se
0.119 0.750 0.052 S
0.381 0.250 0.552 S
0.619 0.750 0.448 S
0.881 0.250 0.948 S